(1)
Computed, not measured: a relaxed structure of CaMoP2 at the PBE level of DFT.

Calculated values
Formation energy in eV/atom: -0.44
VASP energy in eV per atom: -6.35
Offset from the most stable computed form in meV per atom: 296

abc: 4.652 3.489 5.108
angles: 70.07 90.00 90.00
Atoms (fractional coordinates):
Ca 0.000 0.593 0.439
Mo 0.500 0.858 0.910
P 0.000 0.873 0.880
P 0.500 0.177 0.272

(2)
Computed, not measured: a relaxed structure of CaMo2P2 at the PBE level of DFT.

Calculated values
Formation energy in eV/atom: -0.36
VASP energy in eV per atom: -7.25

abc: 4.673 4.673 5.378
angles: 64.25 64.25 90.00
Atoms (fractional coordinates):
P 0.750 0.250 0.500
P 0.250 0.750 0.500
Mo 0.369 0.369 0.262
Mo 0.631 0.631 0.738
Ca 0.000 0.000 0.000

(3)
Computed, not measured: a relaxed structure of CaMo2P at the PBE level of DFT.

Calculated values
Formation energy in eV/atom: 0.17
VASP energy in eV per atom: -7.10

abc: 3.278 3.278 6.782
angles: 90.00 90.00 90.00
Atoms (fractional coordinates):
Ca 0.500 0.500 0.750
Mo 0.000 0.000 0.075
Mo 0.000 0.000 0.425
P 0.500 0.500 0.250

(4)
Computed, not measured: a relaxed structure of CaMoP2 at the PBE level of DFT.

Calculated values
Formation energy in eV/atom: -0.28
VASP energy in eV per atom: -6.19
Offset from the most stable computed form in meV per atom: 451

abc: 3.576 3.921 5.150
angles: 90.00 90.00 90.00
Atoms (fractional coordinates):
Ca 0.000 0.000 0.375
Mo 0.500 0.500 0.875
P 0.000 0.000 0.875
P 0.500 0.500 0.375

(5)
Computed, not measured: a relaxed structure of CaMo2P at the PBE level of DFT.

Calculated values
Formation energy in eV/atom: 0.37
VASP energy in eV per atom: -6.90

abc: 4.611 3.858 3.858
angles: 90.00 90.00 90.00
Atoms (fractional coordinates):
Ca 0.500 0.000 0.500
Mo 0.000 0.000 0.000
Mo 0.000 0.500 0.500
P 0.500 0.500 0.000

(6)
Computed, not measured: a relaxed structure of CaMo2P at the PBE level of DFT.

Calculated values
Formation energy in eV/atom: 0.46
VASP energy in eV per atom: -6.81

abc: 4.637 4.637 9.360
angles: 75.66 75.66 90.00
Atoms (fractional coordinates):
P 0.500 0.500 0.000
P 0.250 0.750 0.500
Mo 0.336 0.125 0.250
Mo 0.414 0.625 0.250
Mo 0.375 0.664 0.750
Mo 0.875 0.586 0.750
Ca 0.000 0.000 0.000
Ca 0.750 0.250 0.500

(7)
Computed, not measured: a relaxed structure of CaMoP2 at the PBE level of DFT.

Calculated values
Formation energy in eV/atom: -0.73
VASP energy in eV per atom: -6.65
Offset from the most stable computed form in meV per atom: 0

abc: 3.507 3.507 6.901
angles: 89.99 89.99 59.98
Atoms (fractional coordinates):
Ca 0.542 0.542 0.500
Mo 0.208 0.208 0.000
P 0.875 0.875 0.209
P 0.875 0.875 0.791

(8)
Computed, not measured: a relaxed structure of CaMoP2Pb at the PBE level of DFT.

Calculated values
Formation energy in eV/atom: 1.44
VASP energy in eV per atom: -4.03

abc: 5.319 5.643 5.319
angles: 90.00 90.00 90.00
Atoms (fractional coordinates):
Pb 0.500 0.500 0.500
P 0.000 0.000 0.500
P 0.500 0.000 0.000
Mo 0.000 0.500 0.000
Ca 0.000 0.000 0.000

(9)
Computed, not measured: a relaxed structure of CaMoP2Ru at the PBE level of DFT.

Calculated values
Formation energy in eV/atom: -0.74
VASP energy in eV per atom: -7.32

abc: 4.184 4.184 5.679
angles: 111.62 111.62 90.00
Atoms (fractional coordinates):
Ca 0.000 0.000 0.000
Mo 0.750 0.250 0.500
P 0.632 0.632 0.265
P 0.368 0.368 0.735
Ru 0.250 0.750 0.500

(10)
Computed, not measured: a relaxed structure of CaMoPS2 at the PBE level of DFT.

Calculated values
VASP energy in eV per atom: -5.83
ΔE_f (raw) in eV/f.u.: -2.65
Offset from the most stable computed form in meV per atom: 0

abc: 4.756 4.756 4.728
angles: 90.00 90.00 90.00
Atoms (fractional coordinates):
S 0.000 0.500 0.000
S 0.500 0.000 0.000
P 0.000 0.000 0.500
Mo 0.000 0.000 0.000
Ca 0.500 0.500 0.500

(11)
Computed, not measured: a relaxed structure of CaMoP2S at the PBE level of DFT.

Calculated values
VASP energy in eV per atom: -5.90
ΔE_f (raw) in eV/f.u.: -1.74
Offset from the most stable computed form in meV per atom: 0

abc: 4.637 4.637 5.044
angles: 90.00 90.00 90.00
Atoms (fractional coordinates):
S 0.000 0.000 0.500
P 0.000 0.500 0.000
P 0.500 0.000 0.000
Mo 0.000 0.000 0.000
Ca 0.500 0.500 0.500

(12)
Computed, not measured: a relaxed structure of CaMoP2S at the PBE level of DFT.

Calculated values
VASP energy in eV per atom: -4.22
ΔE_f (raw) in eV/f.u.: 6.68
Offset from the most stable computed form in meV per atom: 1684

abc: 5.091 5.091 5.015
angles: 90.00 90.00 90.00
Atoms (fractional coordinates):
S 0.000 0.000 0.500
P 0.000 0.500 0.000
P 0.500 0.000 0.000
Mo 0.500 0.500 0.500
Ca 0.000 0.000 0.000